A plane-wave DFT calculation with PBE-GGA was carried out for an optimized crystal structure of Tm5Ag12Bi3.

Properties
Final energy: -3.0467 eV per atom
Density of states at the Fermi level: 70.32 states/eV per cell
V: 589 Å³/f.u.
Spin magnetization: 0.00 Bohr magnetons per cell
Space group: No. 230

a = 14.5209 Å, b = 14.5209 Å, c = 14.5209 Å
α = 109.47°, β = 109.47°, γ = 109.47°
Closest atoms and distances in Å follow each position.
Fractional positions:
Tm: 0.0000 0.0000 0.0000  6 Ag 2.89
Tm: 0.0000 0.0000 0.5000  6 Ag 2.89
Tm: 0.0000 0.5000 0.0000  6 Ag 2.89
Tm: 0.0000 0.5000 0.5000  6 Ag 2.89
Tm: 0.1250 0.7500 0.8750  4 Ag 2.89
Tm: 0.1250 0.8750 0.2500  4 Ag 2.89
Tm: 0.2500 0.1250 0.8750  4 Ag 2.89
Tm: 0.2500 0.6250 0.3750  4 Ag 2.89
Tm: 0.3750 0.2500 0.6250  4 Ag 2.89
Tm: 0.3750 0.6250 0.7500  4 Ag 2.89
Tm: 0.5000 0.0000 0.0000  6 Ag 2.89
Tm: 0.5000 0.0000 0.5000  6 Ag 2.89
Tm: 0.5000 0.5000 0.0000  6 Ag 2.89
Tm: 0.5000 0.5000 0.5000  6 Ag 2.89
Tm: 0.6250 0.3750 0.2500  4 Ag 2.89
Tm: 0.6250 0.7500 0.3750  4 Ag 2.89
Tm: 0.7500 0.3750 0.6250  4 Ag 2.89
Tm: 0.7500 0.8750 0.1250  4 Ag 2.89
Tm: 0.8750 0.1250 0.7500  4 Ag 2.89
Tm: 0.8750 0.2500 0.1250  4 Ag 2.89
Ag: 0.0724 0.2323 0.1452  2 Tm 2.89, 2 Bi 2.89-3.06, 1 Ag 2.91
Ag: 0.0724 0.3400 0.9272  2 Tm 2.89, 2 Bi 2.89-3.06, 1 Ag 2.91
Ag: 0.0728 0.6452 0.4128  2 Tm 2.89, 2 Bi 2.89-3.06, 1 Ag 2.91
Ag: 0.0728 0.9276 0.6600  2 Tm 2.89, 2 Bi 2.89-3.06, 1 Ag 2.91
Ag: 0.0872 0.7323 0.6600  2 Tm 2.89, 2 Bi 2.89-3.06, 1 Ag 2.91
Ag: 0.0872 0.8548 0.4272  2 Tm 2.89, 2 Bi 2.89-3.06, 1 Ag 2.91
Ag: 0.1452 0.0724 0.2323  2 Tm 2.89, 2 Bi 2.89-3.06, 1 Ag 2.91
Ag: 0.1452 0.5728 0.9128  2 Tm 2.89, 2 Bi 2.89-3.06, 1 Ag 2.91
Ag: 0.1600 0.2323 0.5872  2 Tm 2.89, 2 Bi 2.89-3.06, 1 Ag 2.91
Ag: 0.1600 0.4276 0.5728  2 Tm 2.89, 2 Bi 2.89-3.06, 1 Ag 2.91
Ag: 0.2323 0.1452 0.0724  2 Tm 2.89, 2 Bi 2.89-3.06, 1 Ag 2.91
Ag: 0.2323 0.5872 0.1600  2 Tm 2.89, 2 Bi 2.89-3.06, 1 Ag 2.91
Ag: 0.2677 0.3400 0.9128  2 Tm 2.89, 2 Bi 2.89-3.06, 1 Ag 2.91
Ag: 0.2677 0.4276 0.3548  2 Tm 2.89, 2 Bi 2.89-3.06, 1 Ag 2.91
Ag: 0.3400 0.9128 0.2677  2 Tm 2.89, 2 Bi 2.89-3.06, 1 Ag 2.91
Ag: 0.3400 0.9272 0.0724  2 Tm 2.89, 2 Bi 2.89-3.06, 1 Ag 2.91
Ag: 0.3548 0.2677 0.4276  2 Tm 2.89, 2 Bi 2.89-3.06, 1 Ag 2.91
Ag: 0.3548 0.5872 0.9272  2 Tm 2.89, 2 Bi 2.89-3.06, 1 Ag 2.91
Ag: 0.4128 0.0728 0.6452  2 Tm 2.89, 2 Bi 2.89-3.06, 1 Ag 2.91
Ag: 0.4128 0.8400 0.7677  2 Tm 2.89, 2 Bi 2.89-3.06, 1 Ag 2.91
Ag: 0.4272 0.0872 0.8548  2 Tm 2.89, 2 Bi 2.89-3.06, 1 Ag 2.91
Ag: 0.4272 0.8400 0.5724  2 Tm 2.89, 2 Bi 2.89-3.06, 1 Ag 2.91
Ag: 0.4276 0.3548 0.2677  2 Tm 2.89, 2 Bi 2.89-3.06, 1 Ag 2.91
Ag: 0.4276 0.5728 0.1600  2 Tm 2.89, 2 Bi 2.89-3.06, 1 Ag 2.91
Ag: 0.5724 0.4272 0.8400  2 Tm 2.89, 2 Bi 2.89-3.06, 1 Ag 2.91
Ag: 0.5724 0.6452 0.7323  2 Tm 2.89, 2 Bi 2.89-3.06, 1 Ag 2.91
Ag: 0.5728 0.1600 0.4276  2 Tm 2.89, 2 Bi 2.89-3.06, 1 Ag 2.91
Ag: 0.5728 0.9128 0.1452  2 Tm 2.89, 2 Bi 2.89-3.06, 1 Ag 2.91
Ag: 0.5872 0.1600 0.2323  2 Tm 2.89, 2 Bi 2.89-3.06, 1 Ag 2.91
Ag: 0.5872 0.9272 0.3548  2 Tm 2.89, 2 Bi 2.89-3.06, 1 Ag 2.91
Ag: 0.6452 0.4128 0.0728  2 Tm 2.89, 2 Bi 2.89-3.06, 1 Ag 2.91
Ag: 0.6452 0.7323 0.5724  2 Tm 2.89, 2 Bi 2.89-3.06, 1 Ag 2.91
Ag: 0.6600 0.0728 0.9276  2 Tm 2.89, 2 Bi 2.89-3.06, 1 Ag 2.91
Ag: 0.6600 0.0872 0.7323  2 Tm 2.89, 2 Bi 2.89-3.06, 1 Ag 2.91
Ag: 0.7323 0.5724 0.6452  2 Tm 2.89, 2 Bi 2.89-3.06, 1 Ag 2.91
Ag: 0.7323 0.6600 0.0872  2 Tm 2.89, 2 Bi 2.89-3.06, 1 Ag 2.91
Ag: 0.7677 0.4128 0.8400  2 Tm 2.89, 2 Bi 2.89-3.06, 1 Ag 2.91
Ag: 0.7677 0.8548 0.9276  2 Tm 2.89, 2 Bi 2.89-3.06, 1 Ag 2.91
Ag: 0.8400 0.5724 0.4272  2 Tm 2.89, 2 Bi 2.89-3.06, 1 Ag 2.91
Ag: 0.8400 0.7677 0.4128  2 Tm 2.89, 2 Bi 2.89-3.06, 1 Ag 2.91
Ag: 0.8548 0.4272 0.0872  2 Tm 2.89, 2 Bi 2.89-3.06, 1 Ag 2.91
Ag: 0.8548 0.9276 0.7677  2 Tm 2.89, 2 Bi 2.89-3.06, 1 Ag 2.91
Ag: 0.9128 0.1452 0.5728  2 Tm 2.89, 2 Bi 2.89-3.06, 1 Ag 2.91
Ag: 0.9128 0.2677 0.3400  2 Tm 2.89, 2 Bi 2.89-3.06, 1 Ag 2.91
Ag: 0.9272 0.0724 0.3400  2 Tm 2.89, 2 Bi 2.89-3.06, 1 Ag 2.91
Ag: 0.9272 0.3548 0.5872  2 Tm 2.89, 2 Bi 2.89-3.06, 1 Ag 2.91
Ag: 0.9276 0.6600 0.0728  2 Tm 2.89, 2 Bi 2.89-3.06, 1 Ag 2.91
Ag: 0.9276 0.7677 0.8548  2 Tm 2.89, 2 Bi 2.89-3.06, 1 Ag 2.91
Bi: 0.1250 0.2500 0.3750  8 Ag 2.89-3.06
Bi: 0.1250 0.3750 0.7500  8 Ag 2.89-3.06
Bi: 0.2500 0.3750 0.1250  8 Ag 2.89-3.06
Bi: 0.2500 0.8750 0.6250  8 Ag 2.89-3.06
Bi: 0.3750 0.1250 0.2500  8 Ag 2.89-3.06
Bi: 0.3750 0.7500 0.1250  8 Ag 2.89-3.06
Bi: 0.6250 0.2500 0.8750  8 Ag 2.89-3.06
Bi: 0.6250 0.8750 0.7500  8 Ag 2.89-3.06
Bi: 0.7500 0.1250 0.3750  8 Ag 2.89-3.06
Bi: 0.7500 0.6250 0.8750  8 Ag 2.89-3.06
Bi: 0.8750 0.6250 0.2500  8 Ag 2.89-3.06
Bi: 0.8750 0.7500 0.6250  8 Ag 2.89-3.06



A plane-wave DFT calculation with PBE-GGA was carried out for an optimized crystal structure of Tm4AgBi.

Properties
Energy above the most stable polymorph in this dataset: 169 meV/atom
Final energy: -4.2676 eV per atom
Density of states at the Fermi level: 12.56 states/eV per cell
V: 179 Å³/f.u.
Spin magnetization: 0.00 Bohr magnetons per cell
Space group: No. 63

a = 10.5751 Å, b = 10.5751 Å, c = 6.3720 Å
α = 90.00°, β = 90.00°, γ = 149.75°
Closest atoms and distances in Å follow each position.
Fractional positions:
Tm: 0.0560 0.9440 0.7500  1 Ag 2.80
Tm: 0.2057 0.7943 0.5024  1 Ag 3.01, 4 Tm 3.16-3.30
Tm: 0.2057 0.7943 0.9976  1 Ag 3.01, 4 Tm 3.16-3.30
Tm: 0.3761 0.6239 0.7500  2 Ag 2.89, 2 Bi 3.23
Tm: 0.6239 0.3761 0.2500  2 Ag 2.89, 2 Bi 3.23
Tm: 0.7943 0.2057 0.0024  1 Ag 3.01, 4 Tm 3.16-3.30
Tm: 0.7943 0.2057 0.4976  1 Ag 3.01, 4 Tm 3.16-3.30
Tm: 0.9440 0.0560 0.2500  1 Ag 2.80
Ag: 0.0812 0.9188 0.2500  5 Tm 2.80-3.01
Ag: 0.9188 0.0812 0.7500  5 Tm 2.80-3.01
Bi: 0.3514 0.6486 0.2500  10 Tm 3.23-3.39
Bi: 0.6486 0.3514 0.7500  10 Tm 3.23-3.39



A plane-wave DFT calculation with PBE-GGA was carried out for an optimized crystal structure of Tm2AgBi.

Properties
Final energy: -4.2794 eV per atom
Density of states at the Fermi level: 9.13 states/eV per cell
V: 111 Å³/f.u.
Spin magnetization: 0.00 Bohr magnetons per cell
Space group: No. 166

a = 4.7370 Å, b = 4.7370 Å, c = 17.0682 Å
α = 90.00°, β = 90.00°, γ = 120.00°
Closest atoms and distances in Å follow each position.
Fractional positions:
Tm: 0.0000 0.0000 0.2411  3 Ag 3.02, 3 Bi 3.16
Tm: 0.0000 0.0000 0.7589  3 Ag 3.02, 3 Bi 3.16
Tm: 0.3333 0.6667 0.4256  3 Ag 3.02, 3 Bi 3.16
Tm: 0.3333 0.6667 0.9078  3 Ag 3.02, 3 Bi 3.16
Tm: 0.6667 0.3333 0.0922  3 Ag 3.02, 3 Bi 3.16
Tm: 0.6667 0.3333 0.5744  3 Ag 3.02, 3 Bi 3.16
Ag: 0.0000 0.0000 0.5000  6 Tm 3.02
Ag: 0.3333 0.6667 0.1667  6 Tm 3.02
Ag: 0.6667 0.3333 0.8333  6 Tm 3.02
Bi: 0.0000 0.0000 0.0000  6 Tm 3.16
Bi: 0.3333 0.6667 0.6667  6 Tm 3.16
Bi: 0.6667 0.3333 0.3333  6 Tm 3.16



A plane-wave DFT calculation with PBE-GGA was carried out for an optimized crystal structure of Tm4AgBi.

Properties
Energy above the most stable polymorph in this dataset: 0 meV/atom
Final energy: -4.4366 eV per atom
Density of states at the Fermi level: 17.09 states/eV per cell
V: 167 Å³/f.u.
Spin magnetization: 0.00 Bohr magnetons per cell
Space group: No. 216

a = 9.8210 Å, b = 9.8210 Å, c = 9.8210 Å
α = 60.00°, β = 60.00°, γ = 60.00°
Closest atoms and distances in Å follow each position.
Fractional positions:
Tm: 0.0633 0.0633 0.4367  2 Bi 3.08
Tm: 0.0633 0.4367 0.0633  2 Bi 3.08
Tm: 0.0633 0.4367 0.4367  2 Bi 3.08
Tm: 0.0912 0.6363 0.6363  3 Ag 2.97, 3 Bi 3.31
Tm: 0.1828 0.1828 0.8172  2 Ag 2.99
Tm: 0.1828 0.8172 0.1828  2 Ag 2.99
Tm: 0.1828 0.8172 0.8172  2 Ag 2.99
Tm: 0.4367 0.0633 0.0633  2 Bi 3.08
Tm: 0.4367 0.0633 0.4367  2 Bi 3.08
Tm: 0.4367 0.4367 0.0633  2 Bi 3.08
Tm: 0.6363 0.0912 0.6363  3 Ag 2.97, 3 Bi 3.31
Tm: 0.6363 0.6363 0.0912  3 Ag 2.97, 3 Bi 3.31
Tm: 0.6363 0.6363 0.6363  3 Ag 2.97, 3 Bi 3.31
Tm: 0.8172 0.1828 0.1828  2 Ag 2.99
Tm: 0.8172 0.1828 0.8172  2 Ag 2.99
Tm: 0.8172 0.8172 0.1828  2 Ag 2.99
Ag: 0.4517 0.8494 0.8494  6 Tm 2.97-2.99
Ag: 0.8494 0.4517 0.8494  6 Tm 2.97-2.99
Ag: 0.8494 0.8494 0.4517  6 Tm 2.97-2.99
Ag: 0.8494 0.8494 0.8494  6 Tm 2.97-2.99
Bi: 0.4052 0.4052 0.4052  6 Tm 3.08-3.31
Bi: 0.4052 0.4052 0.7845  6 Tm 3.08-3.31
Bi: 0.4052 0.7845 0.4052  6 Tm 3.08-3.31
Bi: 0.7845 0.4052 0.4052  6 Tm 3.08-3.31